The following is a DFT calculation (PBE) of crystalline SmTlFeSe3 at its relaxed geometry.

a = 8.900 Å, b = 8.900 Å, c = 9.105 Å
α = 105.26°, β = 105.26°, γ = 27.76°
Last column: magnetic moment on the atom in μB.
Fractional positions:
Fe1 0.497 0.497 0.330  3.33
Fe2 0.503 0.503 0.670  3.33
Se1 0.500 0.500 0.000  0.12
Se2 0.349 0.349 0.203  0.07
Se3 0.654 0.654 0.369  0.05
Se4 0.000 0.000 0.500  0.15
Se5 0.346 0.346 0.631  0.05
Se6 0.651 0.651 0.797  0.07
Sm1 0.825 0.825 0.398  0.02
Sm2 0.175 0.175 0.602  0.02
Tl1 0.132 0.132 0.065  0.02
Tl2 0.868 0.868 0.935  0.02

Uncorrected energy = -5.0908 eV/atom
Calculated volume = 26.95 A^3/atom
Symmetry = C2/m
ΔE to the lowest computed polymorph = 161 meV/atom